P | The following is a PBE calculation of a relaxed structure of Cu6Ge2Au, from Alexandria via LeMat-Bulk.

a b c (Å): 2.748 7.247 7.247
angles (deg): 120.03 90.00 90.00
Atoms (fractional coordinates):
Cu: 0.500 0.631 0.000
Cu: 0.000 0.000 0.317
Cu: 0.000 0.317 0.000
Cu: 0.500 0.369 0.369
Cu: 0.500 0.000 0.631
Cu: 0.000 0.683 0.683
Ge: 0.000 0.333 0.667
Ge: 0.000 0.667 0.333
Au: 0.500 0.000 0.000

crystal system	hexagonal
DOS(E_F)	3.2	states/eV/cell

Q | The following is a PBE calculation of a relaxed structure of Cu6Ge2Au, from Alexandria via LeMat-Bulk.

a b c (Å): 2.772 7.378 7.378
angles (deg): 58.05 79.17 79.17
Atoms (fractional coordinates):
Ge: 0.348 0.152 0.152
Ge: 0.652 0.848 0.848
Cu: 0.000 0.829 0.171
Cu: 0.174 0.151 0.500
Cu: 0.174 0.500 0.151
Cu: 0.000 0.171 0.829
Cu: 0.826 0.500 0.849
Cu: 0.826 0.849 0.500
Au: 0.500 0.500 0.500

crystal system	orthorhombic
DOS(E_F)	2.4	states/eV/cell

Stability ranking, top and bottom: P is the most stable and Q is the least stable.

P | The following is a PBE calculation of a relaxed structure of Cu2H2Au, from Alexandria via LeMat-Bulk.

a b c (Å): 2.975 2.975 5.961
angles (deg): 75.55 75.55 90.00
Atoms (fractional coordinates):
Cu: 0.335 0.335 0.331
Cu: 0.665 0.665 0.669
H: 0.750 0.250 0.500
H: 0.250 0.750 0.500
Au: 0.000 0.000 0.000

crystal system	tetragonal
DOS(E_F)	0.9	states/eV/cell

Q | The following is a PBE calculation of a relaxed structure of Cu2H2Au, from Alexandria via LeMat-Bulk.

a b c (Å): 5.598 5.598 3.610
angles (deg): 90.00 90.00 90.00
Atoms (fractional coordinates):
H: 0.255 0.755 0.000
H: 0.745 0.245 0.000
H: 0.755 0.745 0.000
H: 0.245 0.255 0.000
Cu: 0.245 0.255 0.500
Cu: 0.745 0.245 0.500
Cu: 0.755 0.745 0.500
Cu: 0.255 0.755 0.500
Au: 0.500 0.500 0.000
Au: 0.000 0.000 0.000

crystal system	tetragonal
DOS(E_F)	1.8	states/eV/cell

Stability ranking, top and bottom: P is the most stable and Q is the least stable.